No. 1
Zn2PbCl | the Alexandria database | PBE-GGA | optimized geometry; magnetization = 0.00 μB per atom; volume = 22.755 Å³ per atom; SG = Cmmm, No. 65; relative energy among the computed polymorphs = 188.8 meV per atom
1.0
3.5841 -3.6016 0.0000
3.5841 3.6016 0.0000
0.0000 0.0000 3.5255
Zn Pb Cl
2 1 1
Cartesian
1.7921 1.8008 0.0000
1.7921 -1.8008 0.0000
0.0000 0.0000 1.7628
3.5841 0.0000 1.7628


No. 2
Zn2PbCl | the Alexandria database | PBE-GGA | optimized geometry; magnetization = 0.00 μB per atom; volume = 22.938 Å³ per atom; SG = Imm2, No. 44; relative energy among the computed polymorphs = 105.2 meV per atom
1.0
-1.6686 2.8767 4.7790
1.6686 -2.8767 4.7790
1.6686 2.8767 -4.7790
Zn Pb Cl
2 1 1
Cartesian
0.0000 0.0000 0.0000
0.0000 2.8767 2.7809
0.0000 0.0000 4.9478
1.6686 0.0000 1.9500


No. 3
ZnPb2Cl | the Alexandria database | PBE-GGA | optimized geometry; magnetization = 0.00 μB per atom; volume = 27.077 Å³ per atom; SG = Cm, No. 8; relative energy among the computed polymorphs = 34.2 meV per atom
1.0
6.7745 -1.7309 0.0000
6.7745 1.7309 0.0000
-1.7869 0.0000 4.6183
Zn Pb Cl
1 2 1
Cartesian
0.0000 0.0000 0.0000
2.4769 0.0000 3.6381
6.4861 0.0000 2.5464
9.9438 0.0000 1.2502


No. 4
ZnPb2Cl | the Alexandria database | PBE-GGA | optimized geometry; magnetization = 0.00 μB per atom; volume = 26.448 Å³ per atom; SG = Cmmm, No. 65; relative energy among the computed polymorphs = 50.4 meV per atom
1.0
1.9689 -2.9277 0.0000
1.9689 2.9277 0.0000
0.0000 0.0000 9.1764
Zn Pb Cl
1 2 1
Cartesian
0.0000 0.0000 0.0000
1.9689 0.0000 2.2089
1.9689 0.0000 6.9675
0.0000 0.0000 4.5882


No. 5
ZnPb2Cl | the Alexandria database | PBE-GGA | optimized geometry; magnetization = 0.00 μB per atom; volume = 26.177 Å³ per atom; SG = F-43m, No. 216; relative energy among the computed polymorphs = 170.7 meV per atom
1.0
0.0000 3.7409 3.7409
3.7409 0.0000 3.7409
3.7409 3.7409 0.0000
Zn Pb Cl
1 2 1
Cartesian
0.0000 0.0000 0.0000
3.7409 3.7409 3.7409
5.6114 5.6114 5.6114
1.8705 1.8705 1.8705


No. 6
Zn2PbCl | the Alexandria database | PBE-GGA | optimized geometry; magnetization = 0.03 μB per atom; volume = 23.579 Å³ per atom; SG = F-43m, No. 216; relative energy among the computed polymorphs = 294.4 meV per atom
1.0
0.0000 3.6129 3.6129
3.6129 0.0000 3.6129
3.6129 3.6129 0.0000
Zn Pb Cl
2 1 1
Cartesian
0.0000 0.0000 0.0000
1.8064 1.8064 1.8064
5.4193 5.4193 5.4193
3.6129 3.6129 3.6129